No. 1
The following is a DFT calculation (GGA-PBE) of a relaxed Nb2TcAuN crystal.

Calculated values
theoretical density	11042	kg/m³
calculated volume	14.88	Å³/atom
E	-8.80	eV/atom
spin magnetization	0.0	μB per cell

CIF file:
```
data_Nb2TcAuN
_cell_length_a 4.260
_cell_length_b 4.260
_cell_length_c 4.101
_cell_angle_alpha 90.00
_cell_angle_beta 90.00
_cell_angle_gamma 90.00
_symmetry_space_group_name_H-M 'P 4/m m m'
_symmetry_Int_Tables_number 123
_symmetry_space_group_name_Hall '-P 4 2'
loop_
_atom_site_label
_atom_site_fract_x
_atom_site_fract_y
_atom_site_fract_z
_atom_site_occupancy
Nb1 0.000 0.500 0.000 1
Tc1 0.000 0.000 0.500 1
Au1 0.500 0.500 0.500 1
N1 0.000 0.000 0.000 1
```

No. 2
The following is a DFT calculation (GGA-PBE) of a relaxed Ba2Li2AcTl2 crystal.

Calculated values
theoretical density	5746	kg/m³
ΔE_f	-0.2378	eV per atom
calculated volume	38.16	Å³/atom
spin magnetization	1.1	μB per cell

CIF file:
```
data_Ba2Li2AcTl2
_cell_length_a 5.1473
_cell_length_b 5.1473
_cell_length_c 34.9217
_cell_angle_alpha 90.00
_cell_angle_beta 90.00
_cell_angle_gamma 120.00
_symmetry_space_group_name_H-M 'R -3 m'
_symmetry_Int_Tables_number 166
_symmetry_space_group_name_Hall '-R 3 2"'
loop_
_atom_site_label
_atom_site_fract_x
_atom_site_fract_y
_atom_site_fract_z
_atom_site_occupancy
Ba1 0.0000 0.0000 0.1148 1
Li1 0.0000 0.0000 0.3836 1
Ac1 0.0000 0.0000 0.0000 1
Tl1 0.0000 0.0000 0.2788 1
```